# 1
First-principles (PBE-GGA) data for an optimized crystal structure of Zr2RePt, as listed in the Alexandria database.

Output
Fermi-level density of states = 0.851 states/eV/atom
DFT total energy = -74.40 eV for the cell shown
size of the total moment = 0.000 μB/f.u.
energy of formation from the pure elements = -403 meV per atom

Lattice parameters (Å, degrees): 3.5206 4.4591 9.4145 90.00 90.00 90.00
With the nearest neighbours (Å) after each atom.
Space group Imm2 (No. 44)
Inequivalent atoms, fractional coordinates:
Zr1 0.0000 0.0000 0.0000 [2 per cell]  4 Re 2.84, 2 Pt 2.95, 4 Zr 3.03-3.16
Zr2 0.0000 0.5000 0.2386 [2 per cell]  2 Re 2.80, 4 Pt 2.84, 2 Zr 3.03
Re1 0.0000 0.0000 0.5067 [2 per cell]  6 Zr 2.80-2.84, 2 Pt 2.98
Pt1 0.0000 0.5000 0.7516 [2 per cell]  6 Zr 2.84-2.95, 2 Re 2.98

# 2
First-principles (PBE-GGA) data for an optimized crystal structure of ZrRePt2, as listed in the Alexandria database.

Output
Fermi-level density of states = 1.164 states/eV/atom
DFT total energy = -100.48 eV for the cell shown
size of the total moment = 0.000 μB/f.u.
E above lowest polymorph = 0.441 eV per atom
energy of formation from the pure elements = -104 meV per atom

Lattice parameters (Å, degrees): 2.8504 2.8504 28.5691 90.00 90.00 120.00
With the nearest neighbours (Å) after each atom.
Space group R3m (No. 160, hexagonal axes)
Inequivalent atoms, fractional coordinates:
Zr1 0.0000 0.0000 0.0000 [3 per cell]  6 Zr 2.85, 3 Pt 2.90, 3 Re 3.05
Re1 0.0000 0.0000 0.2435 [3 per cell]  3 Pt 2.72, 6 Re 2.85
Pt1 0.0000 0.0000 0.5011 [3 per cell]  3 Re 2.72, 9 Pt 2.85-2.91
Pt2 0.0000 0.0000 0.7503 [3 per cell]  9 Pt 2.85-2.91, 3 Zr 2.90

# 3
First-principles (PBE-GGA) data for an optimized crystal structure of ZrRe2Pt2, as listed in the Alexandria database.

Output
Fermi-level density of states = 0.875 states/eV/atom
DFT total energy = -91.99 eV for the cell shown
size of the total moment = 0.000 μB/f.u.
E above lowest polymorph = 0.123 eV per atom
energy of formation from the pure elements = -94 meV per atom

Lattice parameters (Å, degrees): 7.8624 7.8624 2.7236 90.00 90.00 90.00
With the nearest neighbours (Å) after each atom.
Space group P4/mbm (No. 127)
Inequivalent atoms, fractional coordinates:
Zr1 0.0000 0.0000 0.0000 [2 per cell]  2 Zr 2.72
Re1 0.1768 0.3232 0.5000 [4 per cell]  6 Pt 2.62-2.75, 2 Re 2.72
Pt1 0.1216 0.6216 0.0000 [4 per cell]  6 Re 2.62-2.75, 3 Pt 2.70-2.72

# 4
First-principles (PBE-GGA) data for an optimized crystal structure of ZrRe2Pt, as listed in the Alexandria database.

Output
Fermi-level density of states = 1.145 states/eV/atom
DFT total energy = -79.65 eV for the cell shown
size of the total moment = 0.000 μB/f.u.
E above lowest polymorph = 0.148 eV per atom
energy of formation from the pure elements = -85 meV per atom

Lattice parameters (Å, degrees): 9.4003 2.8409 5.0416 90.00 98.75 90.00
With the nearest neighbours (Å) after each atom.
Space group Cm (No. 8)
Inequivalent atoms, fractional coordinates:
Zr1 0.0000 0.0000 0.0000 [2 per cell]  3 Pt 2.75-2.86, 2 Zr 2.84, 7 Re 2.85-3.04
Re1 0.0021 0.5000 0.4904 [2 per cell]  5 Re 2.72-2.84, 4 Zr 2.85-2.94, 3 Pt 2.89-2.96
Re2 0.2603 0.5000 0.3082 [2 per cell]  5 Re 2.72-2.84, 2 Pt 2.75, 3 Zr 2.92-3.04
Pt1 0.2471 0.0000 0.7701 [2 per cell]  7 Re 2.75-3.05, 3 Zr 2.75-2.86, 2 Pt 2.84

# 5
First-principles (PBE-GGA) data for an optimized crystal structure of ZrRePt2, as listed in the Alexandria database.

Output
Fermi-level density of states = 1.335 states/eV/atom
DFT total energy = -135.18 eV for the cell shown
size of the total moment = 0.001 μB/f.u.
E above lowest polymorph = 0.366 eV per atom
energy of formation from the pure elements = -179 meV per atom

Lattice parameters (Å, degrees): 6.4627 6.4627 6.4627 90.00 90.00 90.00
With the nearest neighbours (Å) after each atom.
Space group F-43m (No. 216)
Inequivalent atoms, fractional coordinates:
Zr1 0.0000 0.0000 0.0000 [4 per cell]  4 Pt 2.80, 4 Re 2.80
Re1 0.2500 0.2500 0.7500 [4 per cell]  4 Zr 2.80, 4 Pt 2.80
Pt1 0.0000 0.0000 0.5000 [4 per cell]  4 Re 2.80, 4 Pt 2.80
Pt2 0.2500 0.2500 0.2500 [4 per cell]  4 Zr 2.80, 4 Pt 2.80

# 6
First-principles (PBE-GGA) data for an optimized crystal structure of ZrRePt2, as listed in the Alexandria database.

Output
Fermi-level density of states = 1.112 states/eV/atom
DFT total energy = -101.25 eV for the cell shown
size of the total moment = 0.000 μB/f.u.
E above lowest polymorph = 0.376 eV per atom
energy of formation from the pure elements = -168 meV per atom

Lattice parameters (Å, degrees): 2.8466 2.8466 28.3742 90.00 90.00 120.00
With the nearest neighbours (Å) after each atom.
Space group R-3m (No. 166, hexagonal axes)
Inequivalent atoms, fractional coordinates:
Zr1 0.0000 0.0000 0.0000 [3 per cell]  6 Zr 2.85, 6 Pt 2.98
Re1 0.0000 0.0000 0.5000 [3 per cell]  6 Pt 2.78, 6 Re 2.85
Pt1 0.0000 0.0000 0.2459 [6 per cell]  3 Re 2.78, 6 Pt 2.85, 3 Zr 2.98

# 7
First-principles (PBE-GGA) data for an optimized crystal structure of ZrRePt2, as listed in the Alexandria database.

Output
Fermi-level density of states = 1.304 states/eV/atom
DFT total energy = -134.71 eV for the cell shown
size of the total moment = 1.374 μB/f.u.
E above lowest polymorph = 0.395 eV per atom
energy of formation from the pure elements = -150 meV per atom

Lattice parameters (Å, degrees): 6.5056 6.5056 6.5056 90.00 90.00 90.00
With the nearest neighbours (Å) after each atom.
Space group Fm-3m (No. 225)
Inequivalent atoms, fractional coordinates:
Zr1 0.0000 0.0000 0.0000 [4 per cell]  8 Pt 2.82
Re1 0.0000 0.0000 0.5000 [4 per cell]  8 Pt 2.82
Pt1 0.2500 0.2500 0.2500 [8 per cell]  4 Zr 2.82, 4 Re 2.82

# 8
First-principles (PBE-GGA) data for an optimized crystal structure of ZrRe2Pt, as listed in the Alexandria database.

Output
Fermi-level density of states = 0.765 states/eV/atom
DFT total energy = -80.52 eV for the cell shown
size of the total moment = 0.000 μB/f.u.
E above lowest polymorph = 0.040 eV per atom
energy of formation from the pure elements = -193 meV per atom

Lattice parameters (Å, degrees): 3.9037 4.2849 7.9436 90.00 90.00 90.00
With the nearest neighbours (Å) after each atom.
Space group Imm2 (No. 44)
Inequivalent atoms, fractional coordinates:
Zr1 0.0000 0.0000 0.0000 [2 per cell]  8 Re 2.81-2.90, 4 Pt 2.86
Re1 0.0000 0.0000 0.4754 [2 per cell]  2 Re 2.62, 4 Pt 2.85-2.86, 4 Zr 2.90
Re2 0.0000 0.5000 0.7547 [2 per cell]  2 Re 2.62, 4 Zr 2.81-2.90, 4 Pt 2.90
Pt1 0.0000 0.5000 0.2377 [2 per cell]  8 Re 2.85-2.90, 4 Zr 2.86

# 9
First-principles (PBE-GGA) data for an optimized crystal structure of Zr2RePt, as listed in the Alexandria database.

Output
Fermi-level density of states = 0.699 states/eV/atom
DFT total energy = -109.70 eV for the cell shown
size of the total moment = 0.000 μB/f.u.
energy of formation from the pure elements = -246 meV per atom

Lattice parameters (Å, degrees): 3.2431 3.2431 25.2691 90.00 90.00 120.00
With the nearest neighbours (Å) after each atom.
Space group R-3m (No. 166, hexagonal axes)
Inequivalent atoms, fractional coordinates:
Zr1 0.0000 0.0000 0.2491 [6 per cell]  3 Re 2.80, 3 Pt 2.84
Re1 0.0000 0.0000 0.5000 [3 per cell]  6 Zr 2.80
Pt1 0.0000 0.0000 0.0000 [3 per cell]  6 Zr 2.84

# 10
First-principles (PBE-GGA) data for an optimized crystal structure of ZrRe2Pt, as listed in the Alexandria database.

Output
Fermi-level density of states = 0.846 states/eV/atom
DFT total energy = -39.19 eV for the cell shown
size of the total moment = 0.000 μB/f.u.
E above lowest polymorph = 0.306 eV per atom
energy of formation from the pure elements = 73 meV per atom

Lattice parameters (Å, degrees): 2.7669 2.7669 8.6729 90.00 90.00 90.00
With the nearest neighbours (Å) after each atom.
Space group P4/mmm (No. 123)
Inequivalent atoms, fractional coordinates:
Zr1 0.0000 0.0000 0.0000 [1 per cell]  4 Zr 2.77, 8 Re 3.05
Re1 0.5000 0.5000 0.2696 [2 per cell]  4 Re 2.77, 4 Pt 2.80, 4 Zr 3.05
Pt1 0.0000 0.0000 0.5000 [1 per cell]  4 Pt 2.77, 8 Re 2.80